Y3Al6Ni2, optimized geometry, DFT PBEsol; magnetic moment = 0.000 μB per atom; E_tot = -5.74 eV per atom; DFT formation energy = -0.531 eV/atom; SG = Im-3m
1.0
7.9929 0.0000 0.0000
-2.6643 7.5358 0.0000
-2.6643 -3.7679 6.5262
Y Ni Al
6 4 12
Cartesian
1.4319 2.0250 0.0000 Y
3.8967 5.5108 0.0000 Y
-1.4319 1.0125 1.7537 Y
-3.8967 2.7554 4.7725 Y
1.4319 -1.0125 1.7537 Y
3.8967 -2.7554 4.7725 Y
1.3321 1.8839 3.2631 Ni
-1.3321 3.7679 0.0000 Ni
3.9964 0.0000 0.0000 Ni
-1.3321 -1.8839 3.2631 Ni
2.6643 3.7679 2.2252 Al
4.4812 2.4832 0.0000 Al
0.8474 5.0526 0.0000 Al
0.0000 0.0000 4.3009 Al
-0.8474 2.5263 4.3757 Al
-2.6643 3.8110 2.1505 Al
-2.6643 -0.0432 4.3757 Al
3.5117 1.2416 2.1505 Al
2.6643 0.0432 4.3757 Al
0.8474 -2.5263 4.3757 Al
4.4812 -1.2416 2.1505 Al
0.0000 3.7247 2.1505 Al

=====

ScMo2Cl, optimized geometry, DFT PBEsol; magnetic moment = 0.000 μB per atom; E_tot = -7.55 eV per atom; SG = I-4m2
1.0
-0.6619 -0.9768 4.1180
3.9144 -1.5796 -1.9735
3.6635 1.9549 1.0525
Sc Mo Cl
1 2 1
Cartesian
1.5008 0.4891 2.5853 Sc
0.0000 0.0000 0.0000 Mo
2.7076 -0.5453 0.3059 Mo
4.2084 -0.0562 2.8912 Cl

=====

Cr2TcRu, optimized geometry, DFT PBEsol; magnetic moment = 0.000 μB per atom; E_tot = -10.28 eV per atom; DFT formation energy = 0.196 eV/atom; SG = I-4m2
1.0
-0.5933 0.8469 3.5179
-3.6032 -0.4650 -0.4958
2.4371 -3.8060 -0.5836
Cr Ru Tc
2 1 1
Cartesian
0.0000 0.0000 0.0000 Cr
-0.1272 -1.3841 2.2227 Cr
-2.0982 0.1910 1.5111 Ru
-1.6321 -2.0400 0.2158 Tc

=====

Y3ScO, optimized geometry, DFT PBEsol; magnetic moment = 0.000 μB per atom; E_tot = -7.64 eV per atom; SG = Pm-3m
1.0
4.7968 0.0000 0.0000
0.0000 4.7968 0.0000
0.0000 0.0000 4.7968
Y Sc O
3 1 1
Cartesian
0.0000 2.3984 0.0000 Y
0.0000 0.0000 2.3984 Y
2.3984 0.0000 0.0000 Y
2.3984 2.3984 2.3984 Sc
0.0000 0.0000 0.0000 O

=====

KMn2Au, optimized geometry, DFT PBEsol; magnetic moment = 1.995 μB per atom; ΔE to the lowest computed polymorph = 0.00 eV/f.u.; E_tot = -5.43 eV per atom; DFT formation energy = 0.717 eV/atom; SG = P2/m
1.0
-0.3950 2.5633 -1.2276
1.6459 -1.5684 -3.8046
-6.1577 -3.1306 -1.3734
Au K Mn
1 1 2
Cartesian
0.6255 0.4975 -2.5161 Au
-2.2559 -2.3495 -2.5890 K
-5.4760 -0.7549 -2.0578 Mn
-1.0767 0.1876 -0.5431 Mn

=====

Cs2AgI, optimized geometry, DFT PBEsol; magnetic moment = 0.000 μB per atom; E_tot = -2.39 eV per atom; SG = Fm-3m
1.0
6.2691 0.0000 0.0000
3.1346 5.4292 0.0000
3.1346 1.8097 5.1187
Cs I Ag
2 1 1
Cartesian
3.1346 1.8097 1.2797 Cs
9.4037 5.4292 3.8390 Cs
6.2691 3.6195 2.5593 I
0.0000 0.0000 0.0000 Ag

=====

Ir2OsRu, optimized geometry, DFT PBEsol; magnetic moment = 0.000 μB per atom; ΔE to the lowest computed polymorph = 0.00 eV/f.u.; E_tot = -10.50 eV per atom; DFT formation energy = 0.004 eV/atom; SG = Cmmm
1.0
-2.4134 -0.8402 0.8362
2.0548 -3.2162 2.6989
-0.5471 3.9687 2.4083
Ru Ir Os
1 2 1
Cartesian
-0.4529 -0.0438 2.9717 Ru
1.0274 -1.6081 1.3494 Ir
-0.2736 1.9844 1.2041 Ir
-1.2067 -0.4201 0.4181 Os

=====

HfTiI2, optimized geometry, DFT PBEsol; magnetic moment = 0.354 μB per atom; E_tot = -5.50 eV per atom; SG = Fm-3m
1.0
4.9000 0.0000 0.0000
2.4500 4.2435 0.0000
2.4500 1.4145 4.0008
I Hf Ti
2 1 1
Cartesian
2.4500 1.4145 1.0002 I
7.3500 4.2435 3.0006 I
4.9000 2.8290 2.0004 Hf
0.0000 0.0000 0.0000 Ti

=====

Question: Which of these has the highest E_tot?
Answer: Cs2AgI

=====

Question: E_tot of number 1 (Y3Al6Ni2)?
Answer: -5.74 eV per atom